1.
A plane-wave DFT calculation with GGA-PBE was carried out for an optimized crystal structure of HoNi4.

a = 4.5718 Å, b = 4.5718 Å, c = 4.5718 Å
α = 90.00°, β = 90.00°, γ = 90.00°
Space group Pm-3m (No. 221)
Symmetry-distinct sites (fractional):
Ho (0.0000, 0.0000, 0.0000) [1 per cell]
Ni (0.0000, 0.0000, 0.5000) [3 per cell]
Ni (0.5000, 0.5000, 0.5000) [1 per cell]

Summary:
The calculation puts the density of states at the Fermi level at 8.0 states/eV/f.u. As for the spin magnetization: 0.071 μB/atom. The excess energy over the best structure of this formula in the dataset is 1714 meV per atom. The calculated formation energy is 1515 meV/atom. As for the total energy: -4.03 eV per atom.


2.
A plane-wave DFT calculation with GGA-PBE was carried out for an optimized crystal structure of Ho2Ni.

a = 12.2278 Å, b = 3.6147 Å, c = 7.9268 Å
α = 90.00°, β = 125.56°, γ = 90.00°
Space group C2/m (No. 12)
Symmetry-distinct sites (fractional):
Ho (0.0877, 0.0000, 0.3892) [4 per cell]
Ho (0.1660, 0.5000, 0.0737) [4 per cell]
Ni (0.1247, 0.5000, 0.6854) [4 per cell]

Summary:
The calculation puts the density of states at the Fermi level at 3.1 states/eV/f.u. As for the spin magnetization: 0.000 μB/atom. The calculated formation energy is -321 meV/atom. As for the total energy: -5.30 eV per atom.


3.
A plane-wave DFT calculation with GGA-PBE was carried out for an optimized crystal structure of Ho5Ni2.

a = 16.2014 Å, b = 6.3259 Å, c = 6.8141 Å
α = 90.00°, β = 96.33°, γ = 90.00°
Space group C2/c (No. 15)
Symmetry-distinct sites (fractional):
Ho (0.0000, 0.0659, 0.2500) [4 per cell]
Ho (0.0958, 0.3912, 0.9218) [8 per cell]
Ho (0.2165, 0.0671, 0.3118) [8 per cell]
Ni (0.1102, 0.2041, 0.5681) [8 per cell]

Summary:
The calculation puts the density of states at the Fermi level at 8.3 states/eV/f.u. As for the spin magnetization: 0.000 μB/atom. The calculated formation energy is -284 meV/atom. As for the total energy: -5.21 eV per atom.


4.
A plane-wave DFT calculation with GGA-PBE was carried out for an optimized crystal structure of Ho13Ni2.

a = 6.4045 Å, b = 8.0149 Å, c = 9.1967 Å
α = 65.20°, β = 84.81°, γ = 82.13°
Space group P-1 (No. 2)
Symmetry-distinct sites (fractional):
Ho (0.0000, 0.0000, 0.0000) [1 per cell]
Ho (0.0014, 0.8061, 0.6679) [2 per cell]
Ho (0.1676, 0.6536, 0.3706) [2 per cell]
Ho (0.2390, 0.5597, 0.0411) [2 per cell]
Ho (0.2995, 0.3653, 0.7705) [2 per cell]
Ho (0.4564, 0.0716, 0.1552) [2 per cell]
Ho (0.4748, 0.2342, 0.4447) [2 per cell]
Ni (0.1799, 0.0903, 0.6825) [2 per cell]

Summary:
The calculation puts the density of states at the Fermi level at 21.4 states/eV/f.u. As for the spin magnetization: 0.000 μB/atom. The calculated formation energy is -53 meV/atom. As for the total energy: -4.79 eV per atom.


5.
A plane-wave DFT calculation with GGA-PBE was carried out for an optimized crystal structure of Ho3Ni2.

a = 4.3226 Å, b = 14.1691 Å, c = 3.6321 Å
α = 90.00°, β = 90.00°, γ = 90.00°
Space group Cmmm (No. 65)
Symmetry-distinct sites (fractional):
Ho (0.0000, 0.0000, 0.0000) [2 per cell]
Ho (0.0000, 0.3475, 0.5000) [4 per cell]
Ni (0.0000, 0.1968, 0.0000) [4 per cell]

Summary:
The calculation puts the density of states at the Fermi level at 4.7 states/eV/f.u. As for the spin magnetization: 0.000 μB/atom. The excess energy over the best structure of this formula in the dataset is 30 meV per atom. The calculated formation energy is -356 meV/atom. As for the total energy: -5.41 eV per atom.


6.
A plane-wave DFT calculation with GGA-PBE was carried out for an optimized crystal structure of Ho4Ni.

a = 8.4331 Å, b = 8.4331 Å, c = 7.7822 Å
α = 90.00°, β = 90.00°, γ = 90.00°
Space group I-42d (No. 122)
Symmetry-distinct sites (fractional):
Ho (0.0339, 0.7033, 0.4112) [16 per cell]
Ni (0.0000, 0.0000, 0.5000) [4 per cell]

Summary:
The calculation puts the density of states at the Fermi level at 6.9 states/eV/f.u. As for the spin magnetization: 0.001 μB/atom. The excess energy over the best structure of this formula in the dataset is 0 meV per atom. The calculated formation energy is -129 meV/atom. As for the total energy: -4.95 eV per atom.


7.
A plane-wave DFT calculation with GGA-PBE was carried out for an optimized crystal structure of Ho4Ni3.

a = 13.6261 Å, b = 4.3210 Å, c = 5.5099 Å
α = 90.00°, β = 104.85°, γ = 90.00°
Space group C2/m (No. 12)
Symmetry-distinct sites (fractional):
Ho (0.0919, 0.0000, 0.2782) [4 per cell]
Ho (0.1598, 0.5000, 0.8048) [4 per cell]
Ni (0.0000, 0.5000, 0.0000) [2 per cell]
Ni (0.2299, 0.5000, 0.3442) [4 per cell]

Summary:
The calculation puts the density of states at the Fermi level at 4.2 states/eV/f.u. As for the spin magnetization: 0.000 μB/atom. The calculated formation energy is -341 meV/atom. As for the total energy: -5.43 eV per atom.


8.
A plane-wave DFT calculation with GGA-PBE was carried out for an optimized crystal structure of Ho3Ni2.

a = 6.6750 Å, b = 6.6750 Å, c = 18.1389 Å
α = 90.00°, β = 90.00°, γ = 120.00°
Space group R-3c (No. 167, hexagonal axes)
Symmetry-distinct sites (fractional):
Ho (0.0000, 0.3738, 0.2500) [18 per cell]
Ni (0.0000, 0.0000, 0.1837) [12 per cell]

Summary:
The calculation puts the density of states at the Fermi level at 2.8 states/eV/f.u. As for the spin magnetization: 0.000 μB/atom. The excess energy over the best structure of this formula in the dataset is 81 meV per atom. The calculated formation energy is -305 meV/atom. As for the total energy: -5.36 eV per atom.


Q: Number 5 is which compound?
A: Ho3Ni2


Q: Which formula does entry 1 have?
A: HoNi4


Repeat the second record exactly.
A plane-wave DFT calculation with GGA-PBE was carried out for an optimized crystal structure of Ho2Ni.

a = 12.2278 Å, b = 3.6147 Å, c = 7.9268 Å
α = 90.00°, β = 125.56°, γ = 90.00°
Space group C2/m (No. 12)
Symmetry-distinct sites (fractional):
Ho (0.0877, 0.0000, 0.3892) [4 per cell]
Ho (0.1660, 0.5000, 0.0737) [4 per cell]
Ni (0.1247, 0.5000, 0.6854) [4 per cell]

Summary:
The calculation puts the density of states at the Fermi level at 3.1 states/eV/f.u. As for the spin magnetization: 0.000 μB/atom. The calculated formation energy is -321 meV/atom. As for the total energy: -5.30 eV per atom.